! PC2SI, relaxed, DFT PBE; values from VASP
&SYSTEM
  ibrav = 0, nat = 5, ntyp = 4
/
ATOMIC_SPECIES
P 30.97 P.upf
C 12.01 C.upf
S 32.06 S.upf
I 126.90 I.upf
CELL_PARAMETERS angstrom
3.6178 0.0000 0.0000
0.0000 3.6178 0.0000
0.0000 0.0000 8.0690
ATOMIC_POSITIONS crystal
P 0.0000 0.0000 0.0000
C 0.0000 0.5000 0.0000
C 0.5000 0.0000 0.0000
S 0.5000 0.5000 0.5000
I 0.0000 0.0000 0.5000
! total magnetic moment	0.000	μB per formula unit
! formation energy (no corrections)	832	kJ/mol of formula units

***

! PCS2I, relaxed, DFT PBE; values from VASP
&SYSTEM
  ibrav = 0, nat = 5, ntyp = 4
/
ATOMIC_SPECIES
P 30.97 P.upf
C 12.01 C.upf
S 32.06 S.upf
I 126.90 I.upf
CELL_PARAMETERS angstrom
5.0872 0.0000 0.0000
0.0000 5.0872 0.0000
0.0000 0.0000 5.3821
ATOMIC_POSITIONS crystal
P 0.0000 0.0000 0.0000
C 0.5000 0.5000 0.0000
S 0.0000 0.5000 0.5000
S 0.5000 0.0000 0.5000
I 0.0000 0.0000 0.5000
! total magnetic moment	0.057	μB per formula unit
! formation energy (no corrections)	1233	kJ/mol of formula units

***

- What is the formation energy (no corrections) in the first record?
  832 kJ/mol of formula units

***

- What is the formula in the second record?
  PCS2I